# BeNbAl, relaxed, DFT PBE
# DFT total energy: -6.20 eV per atom
# mass density: 5.17 g cm⁻³
# E above lowest polymorph: 0 meV per atom
# formation energy from the elements: -0.35 eV/atom
data_BeNbAl
_symmetry_space_group_name_H-M 'A m m 2'
_symmetry_Int_Tables_number 38
_symmetry_space_group_name_Hall 'A 2 -2'
_cell_length_a 7.980
_cell_length_b 4.946
_cell_length_c 8.395
_cell_angle_alpha 90.00
_cell_angle_beta 90.00
_cell_angle_gamma 90.00
loop_
_atom_site_label
_atom_site_type_symbol
_atom_site_fract_x
_atom_site_fract_y
_atom_site_fract_z
Be1 Be 0.000 0.000 0.000
Be2 Be 0.000 0.219 0.777
Be3 Be 0.500 0.000 0.349
Nb1 Nb 0.180 0.000 0.519
Nb2 Nb 0.307 0.000 0.849
Al1 Al 0.226 0.000 0.189
Al2 Al 0.500 0.245 0.593

# BaCuBSe3, relaxed, DFT PBE
# formation energy without anion corrections: -731 meV per atom
# DFT total energy: -4.59 eV per atom
# mass density: 4.79 g cm⁻³
data_BaCuBSe3
_symmetry_space_group_name_H-M 'C 1 2/m 1'
_symmetry_Int_Tables_number 12
_symmetry_space_group_name_Hall '-C 2y'
_cell_length_a 12.149
_cell_length_b 6.936
_cell_length_c 8.088
_cell_angle_alpha 90.00
_cell_angle_beta 114.09
_cell_angle_gamma 90.00
loop_
_atom_site_label
_atom_site_type_symbol
_atom_site_fract_x
_atom_site_fract_y
_atom_site_fract_z
Ba1 Ba 0.196 0.000 0.226
Cu1 Cu 0.000 0.194 0.500
B1 B 0.033 0.500 0.247
Se1 Se 0.062 0.255 0.804
Se2 Se 0.207 0.500 0.325

# RbHg2Te, relaxed, DFT PBE
# formation energy without anion corrections: -358 meV per atom
# DFT total energy: -1.54 eV per atom
# mass density: 6.64 g cm⁻³
# E above lowest polymorph: 0 meV per atom
data_RbHg2Te
_symmetry_space_group_name_H-M 'R 3 m'
_symmetry_Int_Tables_number 160
_symmetry_space_group_name_Hall 'R 3 -2"'
_cell_length_a 5.4488
_cell_length_b 5.4488
_cell_length_c 17.9112
_cell_angle_alpha 90.00
_cell_angle_beta 90.00
_cell_angle_gamma 120.00
loop_
_atom_site_label
_atom_site_type_symbol
_atom_site_fract_x
_atom_site_fract_y
_atom_site_fract_z
Rb1 Rb 0.0000 0.0000 0.0000
Hg1 Hg 0.0000 0.0000 0.5475
Hg2 Hg 0.0000 0.0000 0.7741
Te1 Te 0.0000 0.0000 0.2084

# PaFePtRh, relaxed, DFT PBE
# DFT total energy: -8.54 eV per atom
# mass density: 14.67 g cm⁻³
# formation energy from the elements: -0.70 eV/atom
data_PaFePtRh
_symmetry_space_group_name_H-M 'P m m m'
_symmetry_Int_Tables_number 47
_symmetry_space_group_name_Hall '-P 2 2'
_cell_length_a 3.918
_cell_length_b 4.098
_cell_length_c 4.124
_cell_angle_alpha 90.00
_cell_angle_beta 90.00
_cell_angle_gamma 90.00
loop_
_atom_site_label
_atom_site_type_symbol
_atom_site_fract_x
_atom_site_fract_y
_atom_site_fract_z
Pa1 Pa 0.000 0.000 0.000
Fe1 Fe 0.500 0.000 0.500
Pt1 Pt 0.000 0.500 0.500
Rh1 Rh 0.500 0.500 0.000

# LaPu3Pb4, relaxed, DFT PBE
# DFT total energy: -8.05 eV per atom
# mass density: 12.08 g cm⁻³
# formation energy from the elements: -0.20 eV/atom
data_LaPu3Pb4
_symmetry_space_group_name_H-M 'P m m m'
_symmetry_Int_Tables_number 47
_symmetry_space_group_name_Hall '-P 2 2'
_cell_length_a 4.599
_cell_length_b 5.034
_cell_length_c 10.090
_cell_angle_alpha 90.00
_cell_angle_beta 90.00
_cell_angle_gamma 90.00
loop_
_atom_site_label
_atom_site_type_symbol
_atom_site_fract_x
_atom_site_fract_y
_atom_site_fract_z
La1 La 0.000 0.000 0.000
Pu1 Pu 0.000 0.000 0.500
Pu2 Pu 0.000 0.500 0.254
Pb1 Pb 0.500 0.000 0.257
Pb2 Pb 0.500 0.500 0.000
Pb3 Pb 0.500 0.500 0.500

# Pr3Y6Er, relaxed, DFT PBE
# DFT total energy: -5.60 eV per atom
# mass density: 5.51 g cm⁻³
# E above lowest polymorph: 0 meV per atom
# formation energy from the elements: 0.17 eV/atom
data_Pr3Y6Er
_symmetry_space_group_name_H-M 'C m c 21'
_symmetry_Int_Tables_number 36
_symmetry_space_group_name_Hall 'C 2c -2'
_cell_length_a 9.361
_cell_length_b 20.921
_cell_length_c 6.920
_cell_angle_alpha 90.00
_cell_angle_beta 90.00
_cell_angle_gamma 90.00
loop_
_atom_site_label
_atom_site_type_symbol
_atom_site_fract_x
_atom_site_fract_y
_atom_site_fract_z
Pr1 Pr 0.000 0.153 0.000
Pr2 Pr 0.183 0.435 0.979
Y1 Y 0.000 0.002 0.232
Y2 Y 0.000 0.156 0.490
Y3 Y 0.184 0.405 0.473
Y4 Y 0.189 0.270 0.760
Er1 Er 0.000 0.302 0.191

# LaCr2GeC, relaxed, DFT PBE
# DFT total energy: -6.15 eV per atom
# mass density: 4.34 g cm⁻³
# formation energy from the elements: 1.45 eV/atom
data_LaCr2GeC
_symmetry_space_group_name_H-M 'P 4/m m m'
_symmetry_Int_Tables_number 123
_symmetry_space_group_name_Hall '-P 4 2'
_cell_length_a 4.596
_cell_length_b 4.596
_cell_length_c 5.930
_cell_angle_alpha 90.00
_cell_angle_beta 90.00
_cell_angle_gamma 90.00
loop_
_atom_site_label
_atom_site_type_symbol
_atom_site_fract_x
_atom_site_fract_y
_atom_site_fract_z
La1 La 0.000 0.000 0.000
Cr1 Cr 0.000 0.500 0.500
Ge1 Ge 0.000 0.000 0.500
C1 C 0.500 0.500 0.000

# YRuAu2, relaxed, DFT PBE
# DFT total energy: -5.77 eV per atom
# mass density: 12.57 g cm⁻³
# E above lowest polymorph: 161 meV per atom
# formation energy from the elements: -0.20 eV/atom
data_YRuAu2
_symmetry_space_group_name_H-M 'P 4/m m m'
_symmetry_Int_Tables_number 123
_symmetry_space_group_name_Hall '-P 4 2'
_cell_length_a 3.657
_cell_length_b 3.657
_cell_length_c 5.767
_cell_angle_alpha 90.00
_cell_angle_beta 90.00
_cell_angle_gamma 90.00
loop_
_atom_site_label
_atom_site_type_symbol
_atom_site_fract_x
_atom_site_fract_y
_atom_site_fract_z
Y1 Y 0.000 0.000 0.000
Ru1 Ru 0.000 0.000 0.500
Au1 Au 0.500 0.500 0.265

# SnPtPb, relaxed, DFT PBE
# DFT total energy: -4.84 eV per atom
# mass density: 11.29 g cm⁻³
# E above lowest polymorph: 65 meV per atom
# formation energy from the elements: -0.25 eV/atom
data_SnPtPb
_symmetry_space_group_name_H-M 'P 3 m 1'
_symmetry_Int_Tables_number 156
_symmetry_space_group_name_Hall 'P 3 -2"'
_cell_length_a 3.8511
_cell_length_b 3.8511
_cell_length_c 5.9633
_cell_angle_alpha 90.00
_cell_angle_beta 90.00
_cell_angle_gamma 120.00
loop_
_atom_site_label
_atom_site_type_symbol
_atom_site_fract_x
_atom_site_fract_y
_atom_site_fract_z
Sn1 Sn 0.0000 0.0000 0.0000
Pt1 Pt 0.6667 0.3333 0.7470
Pb1 Pb 0.3333 0.6667 0.4419

# SiGe2Te, relaxed, DFT PBE
# formation energy without anion corrections: 507 meV per atom
# DFT total energy: -3.94 eV per atom
# mass density: 5.99 g cm⁻³
# E above lowest polymorph: 225 meV per atom
data_SiGe2Te
_symmetry_space_group_name_H-M 'F m -3 m'
_symmetry_Int_Tables_number 225
_symmetry_space_group_name_Hall '-F 4 2 3'
_cell_length_a 6.936
_cell_length_b 6.936
_cell_length_c 6.936
_cell_angle_alpha 90.00
_cell_angle_beta 90.00
_cell_angle_gamma 90.00
loop_
_atom_site_label
_atom_site_type_symbol
_atom_site_fract_x
_atom_site_fract_y
_atom_site_fract_z
Si1 Si 0.000 0.000 0.000
Ge1 Ge 0.250 0.250 0.250
Te1 Te 0.000 0.000 0.500

# Be2CrFe, relaxed, DFT PBE
# DFT total energy: -6.38 eV per atom
# mass density: 5.41 g cm⁻³
# E above lowest polymorph: 150 meV per atom
# formation energy from the elements: 0.00 eV/atom
data_Be2CrFe
_symmetry_space_group_name_H-M 'P 1 2/m 1'
_symmetry_Int_Tables_number 10
_symmetry_space_group_name_Hall '-P 2y'
_cell_length_a 2.356
_cell_length_b 3.629
_cell_length_c 4.667
_cell_angle_alpha 90.00
_cell_angle_beta 104.46
_cell_angle_gamma 90.00
loop_
_atom_site_label
_atom_site_type_symbol
_atom_site_fract_x
_atom_site_fract_y
_atom_site_fract_z
Be1 Be 0.033 0.000 0.259
Cr1 Cr 0.500 0.500 0.000
Fe1 Fe 0.500 0.500 0.500

# Lu3PuH, relaxed, DFT PBE
# DFT total energy: -6.31 eV per atom
# mass density: 11.29 g cm⁻³
data_Lu3PuH
_symmetry_space_group_name_H-M 'P m -3 m'
_symmetry_Int_Tables_number 221
_symmetry_space_group_name_Hall '-P 4 2 3'
_cell_length_a 4.837
_cell_length_b 4.837
_cell_length_c 4.837
_cell_angle_alpha 90.00
_cell_angle_beta 90.00
_cell_angle_gamma 90.00
loop_
_atom_site_label
_atom_site_type_symbol
_atom_site_fract_x
_atom_site_fract_y
_atom_site_fract_z
Lu1 Lu 0.000 0.000 0.500
Pu1 Pu 0.500 0.500 0.500
H1 H 0.000 0.000 0.000

# Ba2Li2Tl, relaxed, DFT PBE
# DFT total energy: -2.12 eV per atom
# mass density: 4.32 g cm⁻³
# E above lowest polymorph: 60 meV per atom
# formation energy from the elements: -0.11 eV/atom
data_Ba2Li2Tl
_symmetry_space_group_name_H-M 'I 4/m m m'
_symmetry_Int_Tables_number 139
_symmetry_space_group_name_Hall '-I 4 2'
_cell_length_a 4.185
_cell_length_b 4.185
_cell_length_c 21.632
_cell_angle_alpha 90.00
_cell_angle_beta 90.00
_cell_angle_gamma 90.00
loop_
_atom_site_label
_atom_site_type_symbol
_atom_site_fract_x
_atom_site_fract_y
_atom_site_fract_z
Ba1 Ba 0.000 0.000 0.099
Li1 Li 0.000 0.500 0.250
Tl1 Tl 0.000 0.000 0.500

# Tb3Sm2YP6, relaxed, DFT PBE
# DFT total energy: -6.79 eV per atom
# mass density: 6.19 g cm⁻³
# formation energy from the elements: -1.60 eV/atom
data_Tb3Sm2YP6
_symmetry_space_group_name_H-M 'C 1 2/m 1'
_symmetry_Int_Tables_number 12
_symmetry_space_group_name_Hall '-C 2y'
_cell_length_a 7.019
_cell_length_b 12.156
_cell_length_c 7.020
_cell_angle_alpha 90.00
_cell_angle_beta 109.45
_cell_angle_gamma 90.00
loop_
_atom_site_label
_atom_site_type_symbol
_atom_site_fract_x
_atom_site_fract_y
_atom_site_fract_z
Tb1 Tb 0.000 0.000 0.000
Tb2 Tb 0.000 0.333 0.000
Sm1 Sm 0.000 0.166 0.500
Y1 Y 0.000 0.500 0.500
P1 P 0.246 0.500 0.247
P2 P 0.249 0.335 0.753

# K2NbTlF6, relaxed, DFT PBE
# formation energy without anion corrections: -2479 meV per atom
# DFT total energy: -5.06 eV per atom
# mass density: 3.84 g cm⁻³
data_K2NbTlF6
_symmetry_space_group_name_H-M 'F m -3 m'
_symmetry_Int_Tables_number 225
_symmetry_space_group_name_Hall '-F 4 2 3'
_cell_length_a 9.456
_cell_length_b 9.456
_cell_length_c 9.456
_cell_angle_alpha 90.00
_cell_angle_beta 90.00
_cell_angle_gamma 90.00
loop_
_atom_site_label
_atom_site_type_symbol
_atom_site_fract_x
_atom_site_fract_y
_atom_site_fract_z
K1 K 0.250 0.250 0.250
Nb1 Nb 0.000 0.000 0.000
Tl1 Tl 0.000 0.000 0.500
F1 F 0.000 0.000 0.222

# LiPrSm2S4, relaxed, DFT PBE
# formation energy without anion corrections: -1917 meV per atom
# DFT total energy: -6.00 eV per atom
# mass density: 5.26 g cm⁻³
data_LiPrSm2S4
_symmetry_space_group_name_H-M 'P 1 2/m 1'
_symmetry_Int_Tables_number 10
_symmetry_space_group_name_Hall '-P 2y'
_cell_length_a 6.938
_cell_length_b 4.007
_cell_length_c 6.942
_cell_angle_alpha 90.00
_cell_angle_beta 109.39
_cell_angle_gamma 90.00
loop_
_atom_site_label
_atom_site_type_symbol
_atom_site_fract_x
_atom_site_fract_y
_atom_site_fract_z
Li1 Li 0.000 0.000 0.000
Pr1 Pr 0.500 0.500 0.000
Sm1 Sm 0.000 0.500 0.500
Sm2 Sm 0.500 0.000 0.500
S1 S 0.240 0.000 0.749
S2 S 0.243 0.500 0.248

# Cr2AgCl, relaxed, DFT PBE
# formation energy without anion corrections: 430 meV per atom
# DFT total energy: -5.56 eV per atom
# mass density: 5.59 g cm⁻³
# E above lowest polymorph: 259 meV per atom
data_Cr2AgCl
_symmetry_space_group_name_H-M 'P 4/m m m'
_symmetry_Int_Tables_number 123
_symmetry_space_group_name_Hall '-P 4 2'
_cell_length_a 3.187
_cell_length_b 3.187
_cell_length_c 7.230
_cell_angle_alpha 90.00
_cell_angle_beta 90.00
_cell_angle_gamma 90.00
loop_
_atom_site_label
_atom_site_type_symbol
_atom_site_fract_x
_atom_site_fract_y
_atom_site_fract_z
Cr1 Cr 0.000 0.000 0.246
Ag1 Ag 0.500 0.500 0.000
Cl1 Cl 0.500 0.500 0.500

# Tb12YSc3, relaxed, DFT PBE
# DFT total energy: -5.03 eV per atom
# mass density: 7.26 g cm⁻³
# formation energy from the elements: 0.03 eV/atom
data_Tb12YSc3
_symmetry_space_group_name_H-M 'P 4/m m m'
_symmetry_Int_Tables_number 123
_symmetry_space_group_name_Hall '-P 4 2'
_cell_length_a 4.962
_cell_length_b 4.962
_cell_length_c 19.785
_cell_angle_alpha 90.00
_cell_angle_beta 90.00
_cell_angle_gamma 90.00
loop_
_atom_site_label
_atom_site_type_symbol
_atom_site_fract_x
_atom_site_fract_y
_atom_site_fract_z
Tb1 Tb 0.000 0.000 0.000
Tb2 Tb 0.000 0.000 0.247
Tb3 Tb 0.000 0.000 0.500
Tb4 Tb 0.000 0.500 0.124
Tb5 Tb 0.000 0.500 0.371
Y1 Y 0.500 0.500 0.500
Sc1 Sc 0.500 0.500 0.000
Sc2 Sc 0.500 0.500 0.247

# Ac4Th3NbN8, relaxed, DFT PBE
# formation energy without anion corrections: -1225 meV per atom
# DFT total energy: -8.44 eV per atom
# mass density: 10.57 g cm⁻³
data_Ac4Th3NbN8
_symmetry_space_group_name_H-M 'R -3 m'
_symmetry_Int_Tables_number 166
_symmetry_space_group_name_Hall '-R 3 2"'
_cell_length_a 7.3011
_cell_length_b 7.3011
_cell_length_c 18.4721
_cell_angle_alpha 90.00
_cell_angle_beta 90.00
_cell_angle_gamma 120.00
loop_
_atom_site_label
_atom_site_type_symbol
_atom_site_fract_x
_atom_site_fract_y
_atom_site_fract_z
Ac1 Ac 0.0000 0.0000 0.0000
Ac2 Ac 0.0000 0.5000 0.0000
Th1 Th 0.0000 0.5000 0.5000
Nb1 Nb 0.0000 0.0000 0.5000
N1 N 0.0000 0.0000 0.2367
N2 N 0.0293 0.5146 0.2335

# SrCr4, relaxed, DFT PBE
# DFT total energy: -7.39 eV per atom
# mass density: 5.04 g cm⁻³
# E above lowest polymorph: 0 meV per atom
# formation energy from the elements: 0.64 eV/atom
data_SrCr4
_symmetry_space_group_name_H-M 'I 4/m m m'
_symmetry_Int_Tables_number 139
_symmetry_space_group_name_Hall '-I 4 2'
_cell_length_a 4.237
_cell_length_b 4.237
_cell_length_c 10.863
_cell_angle_alpha 90.00
_cell_angle_beta 90.00
_cell_angle_gamma 90.00
loop_
_atom_site_label
_atom_site_type_symbol
_atom_site_fract_x
_atom_site_fract_y
_atom_site_fract_z
Sr1 Sr 0.000 0.000 0.000
Cr1 Cr 0.000 0.000 0.361
Cr2 Cr 0.000 0.500 0.250